Record 1
## Hf2Al2Fe (PBE)

Data for an optimized crystal structure of Hf2Al2Fe.

formation energy	-0.9	eV per formula unit
total DFT energy (no corrections)	-7.360	eV per atom
mass density	8.954	g/cm3

a b c (Å): 6.565 6.565 4.017
angles (deg): 90.00 90.00 90.00
Space group P4/mbm (No. 127)
Asymmetric unit:
Hf 0.170 0.330 0.000 (multiplicity 4)
Al 0.138 0.638 0.500 (multiplicity 4)
Fe 0.000 0.000 0.500 (multiplicity 2)

---

Record 2
## NaTb3Ho2Se6 (PBE)

Data for an optimized crystal structure of NaTb3Ho2Se6.

raw formation energy	-1.74	eV per atom
total DFT energy (no corrections)	-5.514	eV per atom
mass density	7.431	g/cm3

a b c (Å): 17.855 4.078 8.221
angles (deg): 90.00 103.34 90.00
Space group C2/m (No. 12)
Asymmetric unit:
Na 0.000 0.000 0.000 (multiplicity 2)
Tb 0.000 0.000 0.500 (multiplicity 2)
Tb 0.163 0.500 0.825 (multiplicity 4)
Ho 0.168 0.500 0.341 (multiplicity 4)
Se 0.003 0.500 0.252 (multiplicity 4)
Se 0.166 0.000 0.582 (multiplicity 4)
Se 0.168 0.000 0.086 (multiplicity 4)

---

What is the total DFT energy (no corrections) in the second record? -5.514 eV per atom

---

The lowest total DFT energy (no corrections) belongs to which entry? Hf2Al2Fe

---

Which value of total DFT energy (no corrections) does entry 1 give? -7.360 eV per atom

---

Which of these has the highest mass density? Hf2Al2Fe